No. 1
# Ba4CdH, relaxed, DFT PBE
data_Ba4CdH
_symmetry_space_group_name_H-M 'P 1 21/m 1'
_symmetry_Int_Tables_number 11
_cell_length_a 5.897
_cell_length_b 10.553
_cell_length_c 8.382
_cell_angle_alpha 90.00
_cell_angle_beta 90.02
_cell_angle_gamma 90.00
loop_
_symmetry_equiv_pos_as_xyz
'x,y,z'
'-x,-y,-z'
'-x,y+1/2,-z'
'x,-y+1/2,z'
loop_
_atom_site_label
_atom_site_fract_x
_atom_site_fract_y
_atom_site_fract_z
Ba1 0.249 0.250 0.088
Ba2 0.250 0.549 0.689
Ba3 0.251 0.750 0.236
Cd1 0.249 0.250 0.496
H1 0.250 0.750 0.898
# - E_tot: -2.18 eV per atom
# - Size of the total moment: 0.00 μB/cell



No. 2
# Ba2CdH4, relaxed, DFT PBE
data_Ba2CdH4
_symmetry_space_group_name_H-M 'I 4/m m m'
_symmetry_Int_Tables_number 139
_symmetry_space_group_name_Hall '-I 4 2'
_cell_length_a 4.225
_cell_length_b 4.225
_cell_length_c 14.560
_cell_angle_alpha 90.00
_cell_angle_beta 90.00
_cell_angle_gamma 90.00
loop_
_atom_site_label
_atom_site_fract_x
_atom_site_fract_y
_atom_site_fract_z
Ba1 0.000 0.000 0.139
Cd1 0.000 0.000 0.500
H1 0.000 0.000 0.327
H2 0.000 0.500 0.000
# - E_tot: -2.77 eV per atom
# - Size of the total moment: 0.95 μB/cell



No. 3
# Ba2CdH, relaxed, DFT PBE
data_Ba2CdH
_symmetry_space_group_name_H-M 'R 3 m'
_symmetry_Int_Tables_number 160
_symmetry_space_group_name_Hall 'R 3 -2"'
_cell_length_a 4.3532
_cell_length_b 4.3532
_cell_length_c 25.2435
_cell_angle_alpha 90.00
_cell_angle_beta 90.00
_cell_angle_gamma 120.00
loop_
_atom_site_label
_atom_site_fract_x
_atom_site_fract_y
_atom_site_fract_z
Ba1 0.0000 0.0000 0.0000
Ba2 0.0000 0.0000 0.1989
Cd1 0.0000 0.0000 0.7681
H1 0.0000 0.0000 0.6007
# - Energy above the lowest structure with this stoichiometry: 83 meV per atom
# - Size of the total moment: 0.62 μB/cell



No. 4
# BaCdH4, relaxed, DFT PBE
data_BaCdH4
_symmetry_space_group_name_H-M 'C 1 2/c 1'
_symmetry_Int_Tables_number 15
_cell_length_a 7.357
_cell_length_b 13.320
_cell_length_c 5.162
_cell_angle_alpha 90.00
_cell_angle_beta 130.67
_cell_angle_gamma 90.00
loop_
_symmetry_equiv_pos_as_xyz
'x,y,z'
'-x,-y,-z'
'-x,y,-z+1/2'
'x,-y,z+1/2'
'x+1/2,y+1/2,z'
'-x+1/2,-y+1/2,-z'
'-x+1/2,y+1/2,-z+1/2'
'x+1/2,-y+1/2,z+1/2'
loop_
_atom_site_label
_atom_site_fract_x
_atom_site_fract_y
_atom_site_fract_z
Ba1 0.000 0.122 0.250
Cd1 0.000 0.367 0.750
H1 0.102 0.293 0.567
H2 0.227 0.059 0.920
# - E_tot: -2.94 eV per atom
# - Size of the total moment: 0.00 μB/cell



No. 5
# Ba2CdHgH6, relaxed, DFT PBE
data_Ba2CdHgH6
_symmetry_space_group_name_H-M 'C 1 m 1'
_symmetry_Int_Tables_number 8
_cell_length_a 8.320
_cell_length_b 8.320
_cell_length_c 6.445
_cell_angle_alpha 90.00
_cell_angle_beta 129.95
_cell_angle_gamma 90.00
loop_
_symmetry_equiv_pos_as_xyz
'x,y,z'
'x,-y,z'
'x+1/2,y+1/2,z'
'x+1/2,-y+1/2,z'
loop_
_atom_site_label
_atom_site_fract_x
_atom_site_fract_y
_atom_site_fract_z
Ba1 0.000 0.250 0.000
Cd1 0.035 0.000 0.568
Hg1 0.049 0.500 0.597
H1 0.086 0.228 0.670
H2 0.314 0.000 0.670
H3 0.348 0.000 0.193
H4 0.348 0.500 0.193
H5 0.358 0.500 0.670
# - E_tot: -2.65 eV per atom
# - Size of the total moment: 0.00 μB/cell



No. 6
# Ba2CdHgH, relaxed, DFT PBE
data_Ba2CdHgH
_symmetry_space_group_name_H-M 'P 4/m m m'
_symmetry_Int_Tables_number 123
_symmetry_space_group_name_Hall '-P 4 2'
_cell_length_a 5.681
_cell_length_b 5.681
_cell_length_c 4.650
_cell_angle_alpha 90.00
_cell_angle_beta 90.00
_cell_angle_gamma 90.00
loop_
_atom_site_label
_atom_site_fract_x
_atom_site_fract_y
_atom_site_fract_z
Ba1 0.000 0.500 0.000
Cd1 0.000 0.000 0.500
Hg1 0.500 0.500 0.500
H1 0.500 0.500 0.000
# - Energy above the lowest structure with this stoichiometry: 38 meV per atom
# - Size of the total moment: 0.00 μB/cell



No. 7
# Ba2CdHgH, relaxed, DFT PBE
data_Ba2CdHgH
_symmetry_space_group_name_H-M 'P 4/m m m'
_symmetry_Int_Tables_number 123
_symmetry_space_group_name_Hall '-P 4 2'
_cell_length_a 5.690
_cell_length_b 5.690
_cell_length_c 4.579
_cell_angle_alpha 90.00
_cell_angle_beta 90.00
_cell_angle_gamma 90.00
loop_
_atom_site_label
_atom_site_fract_x
_atom_site_fract_y
_atom_site_fract_z
Ba1 0.000 0.500 0.000
Cd1 0.000 0.000 0.500
Hg1 0.500 0.500 0.500
H1 0.000 0.000 0.000
# - Energy above the lowest structure with this stoichiometry: 0 meV per atom
# - Size of the total moment: 0.00 μB/cell



No. 8
# Ba2Cd2HgH6, relaxed, DFT PBE
data_Ba2Cd2HgH6
_symmetry_space_group_name_H-M 'C 1 2/m 1'
_symmetry_Int_Tables_number 12
_cell_length_a 11.910
_cell_length_b 5.204
_cell_length_c 8.453
_cell_angle_alpha 90.00
_cell_angle_beta 125.63
_cell_angle_gamma 90.00
loop_
_symmetry_equiv_pos_as_xyz
'x,y,z'
'-x,-y,-z'
'-x,y,-z'
'x,-y,z'
'x+1/2,y+1/2,z'
'-x+1/2,-y+1/2,-z'
'-x+1/2,y+1/2,-z'
'x+1/2,-y+1/2,z'
loop_
_atom_site_label
_atom_site_fract_x
_atom_site_fract_y
_atom_site_fract_z
Ba1 0.224 0.000 0.223
Cd1 0.008 0.500 0.843
Hg1 0.000 0.000 0.500
H1 0.113 0.233 0.853
H2 0.175 0.500 0.384
# - E_tot: -2.52 eV per atom
# - Size of the total moment: 0.00 μB/cell



No. 9
# Ba2CdHIr, relaxed, DFT PBE
data_Ba2CdHIr
_symmetry_space_group_name_H-M 'P 4/m m m'
_symmetry_Int_Tables_number 123
_symmetry_space_group_name_Hall '-P 4 2'
_cell_length_a 5.794
_cell_length_b 5.794
_cell_length_c 3.814
_cell_angle_alpha 90.00
_cell_angle_beta 90.00
_cell_angle_gamma 90.00
loop_
_atom_site_label
_atom_site_fract_x
_atom_site_fract_y
_atom_site_fract_z
Ba1 0.000 0.500 0.000
Cd1 0.000 0.000 0.500
H1 0.500 0.500 0.000
Ir1 0.500 0.500 0.500
# - E_tot: -3.55 eV per atom
# - Size of the total moment: 0.10 μB/cell



No. 10
# BaCdH8Ir2, relaxed, DFT PBE
data_BaCdH8Ir2
_symmetry_space_group_name_H-M 'R -3'
_symmetry_Int_Tables_number 148
_symmetry_space_group_name_Hall '-R 3'
_cell_length_a 5.0176
_cell_length_b 5.0176
_cell_length_c 18.8919
_cell_angle_alpha 90.00
_cell_angle_beta 90.00
_cell_angle_gamma 120.00
loop_
_atom_site_label
_atom_site_fract_x
_atom_site_fract_y
_atom_site_fract_z
Ba1 0.0000 0.0000 0.0000
Cd1 0.0000 0.0000 0.5000
H1 0.0000 0.0000 0.2877
H2 0.0543 0.4656 0.5458
Ir1 0.0000 0.0000 0.1984
# - E_tot: -4.07 eV per atom
# - Size of the total moment: 0.00 μB/cell



No. 11
# KBaCd2H6, relaxed, DFT PBE
data_KBaCd2H6
_symmetry_space_group_name_H-M 'R -3'
_symmetry_Int_Tables_number 148
_symmetry_space_group_name_Hall '-R 3'
_cell_length_a 5.8208
_cell_length_b 5.8208
_cell_length_c 20.5570
_cell_angle_alpha 90.00
_cell_angle_beta 90.00
_cell_angle_gamma 120.00
loop_
_atom_site_label
_atom_site_fract_x
_atom_site_fract_y
_atom_site_fract_z
K1 0.0000 0.0000 0.0000
Ba1 0.0000 0.0000 0.5000
Cd1 0.0000 0.0000 0.2535
H1 0.0023 0.3915 0.9274
# - E_tot: -2.55 eV per atom
# - Size of the total moment: 0.00 μB/cell



No. 12
# KBa2CdH, relaxed, DFT PBE
data_KBa2CdH
_symmetry_space_group_name_H-M 'P 4/m m m'
_symmetry_Int_Tables_number 123
_symmetry_space_group_name_Hall '-P 4 2'
_cell_length_a 5.790
_cell_length_b 5.790
_cell_length_c 5.373
_cell_angle_alpha 90.00
_cell_angle_beta 90.00
_cell_angle_gamma 90.00
loop_
_atom_site_label
_atom_site_fract_x
_atom_site_fract_y
_atom_site_fract_z
K1 0.000 0.000 0.000
Ba1 0.000 0.500 0.500
Cd1 0.500 0.500 0.000
H1 0.000 0.000 0.500
# - E_tot: -1.99 eV per atom
# - Size of the total moment: 0.00 μB/cell



No. 13
# K2BaCdH, relaxed, DFT PBE
data_K2BaCdH
_symmetry_space_group_name_H-M 'P 4/m m m'
_symmetry_Int_Tables_number 123
_symmetry_space_group_name_Hall '-P 4 2'
_cell_length_a 5.523
_cell_length_b 5.523
_cell_length_c 5.829
_cell_angle_alpha 90.00
_cell_angle_beta 90.00
_cell_angle_gamma 90.00
loop_
_atom_site_label
_atom_site_fract_x
_atom_site_fract_y
_atom_site_fract_z
K1 0.000 0.500 0.000
Ba1 0.000 0.000 0.500
Cd1 0.500 0.500 0.500
H1 0.000 0.000 0.000
# - E_tot: -1.78 eV per atom
# - Size of the total moment: 0.00 μB/cell



No. 14
# Ba2LaCdH, relaxed, DFT PBE
data_Ba2LaCdH
_symmetry_space_group_name_H-M 'P 4/m m m'
_symmetry_Int_Tables_number 123
_symmetry_space_group_name_Hall '-P 4 2'
_cell_length_a 5.800
_cell_length_b 5.800
_cell_length_c 4.966
_cell_angle_alpha 90.00
_cell_angle_beta 90.00
_cell_angle_gamma 90.00
loop_
_atom_site_label
_atom_site_fract_x
_atom_site_fract_y
_atom_site_fract_z
Ba1 0.000 0.500 0.000
La1 0.000 0.000 0.500
Cd1 0.500 0.500 0.500
H1 0.000 0.000 0.000
# - E_tot: -2.72 eV per atom
# - Size of the total moment: 1.12 μB/cell



No. 15
# BaLa2CdH, relaxed, DFT PBE
data_BaLa2CdH
_symmetry_space_group_name_H-M 'P 4/m m m'
_symmetry_Int_Tables_number 123
_symmetry_space_group_name_Hall '-P 4 2'
_cell_length_a 6.078
_cell_length_b 6.078
_cell_length_c 5.893
_cell_angle_alpha 90.00
_cell_angle_beta 90.00
_cell_angle_gamma 90.00
loop_
_atom_site_label
_atom_site_fract_x
_atom_site_fract_y
_atom_site_fract_z
Ba1 0.000 0.000 0.000
La1 0.000 0.500 0.000
Cd1 0.000 0.000 0.500
H1 0.500 0.500 0.500
# - Energy above the lowest structure with this stoichiometry: 1394 meV per atom
# - Size of the total moment: 0.00 μB/cell



No. 16
# BaLa2CdH, relaxed, DFT PBE
data_BaLa2CdH
_symmetry_space_group_name_H-M 'P 4/m m m'
_symmetry_Int_Tables_number 123
_symmetry_space_group_name_Hall '-P 4 2'
_cell_length_a 5.180
_cell_length_b 5.180
_cell_length_c 5.491
_cell_angle_alpha 90.00
_cell_angle_beta 90.00
_cell_angle_gamma 90.00
loop_
_atom_site_label
_atom_site_fract_x
_atom_site_fract_y
_atom_site_fract_z
Ba1 0.000 0.000 0.000
La1 0.000 0.500 0.500
Cd1 0.500 0.500 0.000
H1 0.000 0.000 0.500
# - Energy above the lowest structure with this stoichiometry: 0 meV per atom
# - Size of the total moment: 0.05 μB/cell



No. 17
# Ba2LiCdH, relaxed, DFT PBE
data_Ba2LiCdH
_symmetry_space_group_name_H-M 'P 4/m m m'
_symmetry_Int_Tables_number 123
_symmetry_space_group_name_Hall '-P 4 2'
_cell_length_a 5.854
_cell_length_b 5.854
_cell_length_c 4.356
_cell_angle_alpha 90.00
_cell_angle_beta 90.00
_cell_angle_gamma 90.00
loop_
_atom_site_label
_atom_site_fract_x
_atom_site_fract_y
_atom_site_fract_z
Ba1 0.000 0.500 0.000
Li1 0.000 0.000 0.500
Cd1 0.500 0.500 0.500
H1 0.000 0.000 0.000
# - Energy above the lowest structure with this stoichiometry: 0 meV per atom
# - Size of the total moment: 0.00 μB/cell



No. 18
# Ba2LiCdH, relaxed, DFT PBE
data_Ba2LiCdH
_symmetry_space_group_name_H-M 'P 4/m m m'
_symmetry_Int_Tables_number 123
_symmetry_space_group_name_Hall '-P 4 2'
_cell_length_a 5.670
_cell_length_b 5.670
_cell_length_c 4.743
_cell_angle_alpha 90.00
_cell_angle_beta 90.00
_cell_angle_gamma 90.00
loop_
_atom_site_label
_atom_site_fract_x
_atom_site_fract_y
_atom_site_fract_z
Ba1 0.000 0.500 0.000
Li1 0.000 0.000 0.500
Cd1 0.500 0.500 0.500
H1 0.500 0.500 0.000
# - Energy above the lowest structure with this stoichiometry: 118 meV per atom
# - Size of the total moment: 0.00 μB/cell



No. 19
# BaLiCd2H6, relaxed, DFT PBE
data_BaLiCd2H6
_symmetry_space_group_name_H-M 'R -3 m'
_symmetry_Int_Tables_number 166
_symmetry_space_group_name_Hall '-R 3 2"'
_cell_length_a 5.2257
_cell_length_b 5.2257
_cell_length_c 17.3774
_cell_angle_alpha 90.00
_cell_angle_beta 90.00
_cell_angle_gamma 120.00
loop_
_atom_site_label
_atom_site_fract_x
_atom_site_fract_y
_atom_site_fract_z
Ba1 0.0000 0.0000 0.0000
Li1 0.0000 0.0000 0.5000
Cd1 0.0000 0.0000 0.2229
H1 0.0453 0.5227 0.0777
# - E_tot: -2.64 eV per atom
# - Size of the total moment: 0.00 μB/cell



No. 20
# BaLi2CdH, relaxed, DFT PBE
data_BaLi2CdH
_symmetry_space_group_name_H-M 'P 4/m m m'
_symmetry_Int_Tables_number 123
_symmetry_space_group_name_Hall '-P 4 2'
_cell_length_a 4.764
_cell_length_b 4.764
_cell_length_c 5.396
_cell_angle_alpha 90.00
_cell_angle_beta 90.00
_cell_angle_gamma 90.00
loop_
_atom_site_label
_atom_site_fract_x
_atom_site_fract_y
_atom_site_fract_z
Ba1 0.000 0.000 0.000
Li1 0.000 0.500 0.500
Cd1 0.500 0.500 0.000
H1 0.000 0.000 0.500
# - E_tot: -2.11 eV per atom
# - Size of the total moment: 0.00 μB/cell